(1)
# PmPr7Sm12 (PBE, relaxed)
data_PmPr7Sm12
_chemical_formula_sum 'Pm1 Pr7 Sm12'
_cell_length_a 10.029
_cell_length_b 10.029
_cell_length_c 10.029
_cell_angle_alpha 109.47
_cell_angle_beta 109.47
_cell_angle_gamma 109.47
_symmetry_space_group_name_H-M 'P 1'
_symmetry_Int_Tables_number 1
loop_
_symmetry_equiv_pos_as_xyz
'x,y,z'
loop_
_atom_site_label
_atom_site_type_symbol
_atom_site_fract_x
_atom_site_fract_y
_atom_site_fract_z
_atom_site_occupancy
Pm1 Pm 0.000 0.000 0.000 1
Pr1 Pr 0.000 0.000 0.500 1
Pr2 Pr 0.000 0.500 0.000 1
Pr3 Pr 0.000 0.500 0.500 1
Pr4 Pr 0.500 0.000 0.000 1
Pr5 Pr 0.500 0.000 0.500 1
Pr6 Pr 0.500 0.500 0.000 1
Pr7 Pr 0.500 0.500 0.500 1
Sm1 Sm 0.000 0.249 0.751 1
Sm2 Sm 0.000 0.751 0.249 1
Sm3 Sm 0.249 0.000 0.751 1
Sm4 Sm 0.249 0.249 0.498 1
Sm5 Sm 0.249 0.498 0.249 1
Sm6 Sm 0.249 0.751 0.000 1
Sm7 Sm 0.498 0.249 0.249 1
Sm8 Sm 0.502 0.751 0.751 1
Sm9 Sm 0.751 0.000 0.249 1
Sm10 Sm 0.751 0.249 0.000 1
Sm11 Sm 0.751 0.502 0.751 1
Sm12 Sm 0.751 0.751 0.502 1
# - SG = Im-3m (229)
# - magnetization (μB per cell) = 0.00
# - energy of formation (eV per atom) = 0.590

---

(2)
# Pm2PrSm (PBE, relaxed)
data_Pm2PrSm
_chemical_formula_sum 'Pm2 Pr1 Sm1'
_cell_length_a 5.173
_cell_length_b 5.173
_cell_length_c 5.175
_cell_angle_alpha 90.00
_cell_angle_beta 90.00
_cell_angle_gamma 90.00
_symmetry_space_group_name_H-M 'P 1'
_symmetry_Int_Tables_number 1
loop_
_symmetry_equiv_pos_as_xyz
'x,y,z'
loop_
_atom_site_label
_atom_site_type_symbol
_atom_site_fract_x
_atom_site_fract_y
_atom_site_fract_z
_atom_site_occupancy
Pm1 Pm 0.000 0.500 0.000 1
Pm2 Pm 0.500 0.000 0.000 1
Pr1 Pr 0.000 0.000 0.500 1
Sm1 Sm 0.500 0.500 0.500 1
# - SG = P4/mmm (123)
# - magnetization (μB per cell) = 0.00
# - energy of formation (eV per atom) = 0.015

---

(3)
# Pm3Pr5Sm3 (PBE, relaxed)
data_Pm3Pr5Sm3
_chemical_formula_sum 'Pm3 Pr5 Sm3'
_cell_length_a 9.899
_cell_length_b 9.899
_cell_length_c 5.501
_cell_angle_alpha 90.00
_cell_angle_beta 90.00
_cell_angle_gamma 120.00
_symmetry_space_group_name_H-M 'P 1'
_symmetry_Int_Tables_number 1
loop_
_symmetry_equiv_pos_as_xyz
'x,y,z'
loop_
_atom_site_label
_atom_site_type_symbol
_atom_site_fract_x
_atom_site_fract_y
_atom_site_fract_z
_atom_site_occupancy
Pm1 Pm 0.000 0.577 0.000 1
Pm2 Pm 0.423 0.423 0.000 1
Pm3 Pm 0.577 0.000 0.000 1
Pr1 Pr 0.000 0.735 0.500 1
Pr2 Pr 0.265 0.265 0.500 1
Pr3 Pr 0.333 0.667 0.500 1
Pr4 Pr 0.667 0.333 0.500 1
Pr5 Pr 0.735 0.000 0.500 1
Sm1 Sm 0.000 0.363 0.500 1
Sm2 Sm 0.363 0.000 0.500 1
Sm3 Sm 0.637 0.637 0.500 1
# - SG = P-62m (189)
# - magnetization (μB per cell) = 0.75
# - energy of formation (eV per atom) = 0.717

---

(4)
# PmPr4Sm5 (PBE, relaxed)
data_PmPr4Sm5
_chemical_formula_sum 'Pm2 Pr8 Sm10'
_cell_length_a 10.846
_cell_length_b 10.846
_cell_length_c 5.922
_cell_angle_alpha 90.00
_cell_angle_beta 90.00
_cell_angle_gamma 90.00
_symmetry_space_group_name_H-M 'P 1'
_symmetry_Int_Tables_number 1
loop_
_symmetry_equiv_pos_as_xyz
'x,y,z'
loop_
_atom_site_label
_atom_site_type_symbol
_atom_site_fract_x
_atom_site_fract_y
_atom_site_fract_z
_atom_site_occupancy
Pm1 Pm 0.250 0.250 0.127 1
Pm2 Pm 0.750 0.750 0.873 1
Pr1 Pr 0.044 0.750 0.866 1
Pr2 Pr 0.250 0.544 0.134 1
Pr3 Pr 0.250 0.956 0.134 1
Pr4 Pr 0.456 0.750 0.866 1
Pr5 Pr 0.544 0.250 0.134 1
Pr6 Pr 0.750 0.044 0.866 1
Pr7 Pr 0.750 0.456 0.866 1
Pr8 Pr 0.956 0.250 0.134 1
Sm1 Sm 0.087 0.087 0.667 1
Sm2 Sm 0.087 0.413 0.667 1
Sm3 Sm 0.250 0.750 0.500 1
Sm4 Sm 0.413 0.087 0.667 1
Sm5 Sm 0.413 0.413 0.667 1
Sm6 Sm 0.587 0.587 0.333 1
Sm7 Sm 0.587 0.913 0.333 1
Sm8 Sm 0.750 0.250 0.500 1
Sm9 Sm 0.913 0.587 0.333 1
Sm10 Sm 0.913 0.913 0.333 1
# - SG = P4/nmm (129)
# - magnetization (μB per cell) = 0.00
# - energy of formation (eV per atom) = 0.173

---

(5)
# Pm4PrSm (PBE, relaxed)
data_Pm4PrSm
_chemical_formula_sum 'Pm4 Pr1 Sm1'
_cell_length_a 3.663
_cell_length_b 5.160
_cell_length_c 11.011
_cell_angle_alpha 90.00
_cell_angle_beta 90.00
_cell_angle_gamma 90.00
_symmetry_space_group_name_H-M 'P 1'
_symmetry_Int_Tables_number 1
loop_
_symmetry_equiv_pos_as_xyz
'x,y,z'
loop_
_atom_site_label
_atom_site_type_symbol
_atom_site_fract_x
_atom_site_fract_y
_atom_site_fract_z
_atom_site_occupancy
Pm1 Pm 0.000 0.000 0.165 1
Pm2 Pm 0.000 0.000 0.835 1
Pm3 Pm 0.500 0.500 0.332 1
Pm4 Pm 0.500 0.500 0.668 1
Pr1 Pr 0.000 0.000 0.500 1
Sm1 Sm 0.500 0.500 0.000 1
# - SG = Pmmm (47)
# - magnetization (μB per cell) = 0.00
# - energy of formation (eV per atom) = 0.016

---

(6)
# Pm3PrSm4 (PBE, relaxed)
data_Pm3PrSm4
_chemical_formula_sum 'Pm6 Pr2 Sm8'
_cell_length_a 11.794
_cell_length_b 7.370
_cell_length_c 6.376
_cell_angle_alpha 90.00
_cell_angle_beta 90.00
_cell_angle_gamma 90.00
_symmetry_space_group_name_H-M 'P 1'
_symmetry_Int_Tables_number 1
loop_
_symmetry_equiv_pos_as_xyz
'x,y,z'
loop_
_atom_site_label
_atom_site_type_symbol
_atom_site_fract_x
_atom_site_fract_y
_atom_site_fract_z
_atom_site_occupancy
Pm1 Pm 0.000 0.126 0.000 1
Pm2 Pm 0.250 0.126 0.333 1
Pm3 Pm 0.250 0.874 0.833 1
Pm4 Pm 0.500 0.874 0.500 1
Pm5 Pm 0.750 0.126 0.333 1
Pm6 Pm 0.750 0.874 0.833 1
Pr1 Pr 0.000 0.875 0.499 1
Pr2 Pr 0.500 0.125 0.999 1
Sm1 Sm 0.000 0.375 0.500 1
Sm2 Sm 0.000 0.623 0.000 1
Sm3 Sm 0.249 0.376 0.832 1
Sm4 Sm 0.251 0.624 0.332 1
Sm5 Sm 0.500 0.377 0.500 1
Sm6 Sm 0.500 0.625 0.000 1
Sm7 Sm 0.749 0.624 0.332 1
Sm8 Sm 0.751 0.376 0.832 1
# - SG = Pmn2_1 (31)
# - magnetization (μB per cell) = 0.00
# - energy of formation (eV per atom) = 0.032

---

(7)
# PmPr6Sm5 (PBE, relaxed)
data_PmPr6Sm5
_chemical_formula_sum 'Pm1 Pr6 Sm5'
_cell_length_a 6.378
_cell_length_b 6.378
_cell_length_c 12.134
_cell_angle_alpha 95.04
_cell_angle_beta 95.04
_cell_angle_gamma 120.03
_symmetry_space_group_name_H-M 'P 1'
_symmetry_Int_Tables_number 1
loop_
_symmetry_equiv_pos_as_xyz
'x,y,z'
loop_
_atom_site_label
_atom_site_type_symbol
_atom_site_fract_x
_atom_site_fract_y
_atom_site_fract_z
_atom_site_occupancy
Pm1 Pm 0.000 0.000 0.000 1
Pr1 Pr 0.084 0.417 0.250 1
Pr2 Pr 0.250 0.250 0.750 1
Pr3 Pr 0.417 0.084 0.250 1
Pr4 Pr 0.583 0.916 0.750 1
Pr5 Pr 0.750 0.750 0.250 1
Pr6 Pr 0.916 0.583 0.750 1
Sm1 Sm 0.167 0.833 0.500 1
Sm2 Sm 0.333 0.667 0.000 1
Sm3 Sm 0.500 0.500 0.500 1
Sm4 Sm 0.667 0.333 0.000 1
Sm5 Sm 0.833 0.167 0.500 1
# - SG = C2/m (12)
# - magnetization (μB per cell) = 0.00
# - energy of formation (eV per atom) = 0.012

---

(8)
# Pm2Pr8Sm (PBE, relaxed)
data_Pm2Pr8Sm
_chemical_formula_sum 'Pm2 Pr8 Sm1'
_cell_length_a 9.763
_cell_length_b 9.763
_cell_length_c 8.272
_cell_angle_alpha 104.72
_cell_angle_beta 104.72
_cell_angle_gamma 31.06
_symmetry_space_group_name_H-M 'P 1'
_symmetry_Int_Tables_number 1
loop_
_symmetry_equiv_pos_as_xyz
'x,y,z'
loop_
_atom_site_label
_atom_site_type_symbol
_atom_site_fract_x
_atom_site_fract_y
_atom_site_fract_z
_atom_site_occupancy
Pm1 Pm 0.227 0.227 0.135 1
Pm2 Pm 0.773 0.773 0.865 1
Pr1 Pr 0.046 0.046 0.228 1
Pr2 Pr 0.137 0.137 0.683 1
Pr3 Pr 0.318 0.318 0.590 1
Pr4 Pr 0.409 0.409 0.046 1
Pr5 Pr 0.591 0.591 0.954 1
Pr6 Pr 0.682 0.682 0.410 1
Pr7 Pr 0.863 0.863 0.317 1
Pr8 Pr 0.954 0.954 0.772 1
Sm1 Sm 0.500 0.500 0.500 1
# - SG = C2/m (12)
# - magnetization (μB per cell) = 0.00
# - energy of formation (eV per atom) = 0.012

---

The highest energy of formation belongs to which entry? Pm3Pr5Sm3

---

Which of these has the highest magnetization? Pm3Pr5Sm3

---

Number 6 is which compound? Pm3PrSm4